First-principles (PBE with a Hubbard U) data for a relaxed YFe3B4O12 crystal, as listed in Alexandria.

Computed properties:
Space group: P3_121
Magnetization (μB per formula unit): 15.0
Uncorrected energy (eV/atom): -7.72

a = 9.620 Å, b = 9.620 Å, c = 7.655 Å
α = 90.00°, β = 90.00°, γ = 120.00°
Fractional positions:
Y 0.000 0.665 0.167
Y 0.335 0.335 0.500
Y 0.665 0.000 0.833
Fe 0.000 0.115 0.167
Fe 0.115 0.000 0.833
Fe 0.213 0.549 0.844
Fe 0.336 0.787 0.511
Fe 0.451 0.664 0.177
Fe 0.549 0.213 0.156
Fe 0.664 0.451 0.823
Fe 0.787 0.336 0.489
Fe 0.885 0.885 0.500
B 0.000 0.222 0.667
B 0.000 0.668 0.667
B 0.124 0.448 0.347
B 0.222 0.000 0.333
B 0.324 0.876 0.013
B 0.332 0.332 0.000
B 0.448 0.124 0.653
B 0.552 0.676 0.680
B 0.668 0.000 0.333
B 0.676 0.552 0.320
B 0.778 0.778 0.000
B 0.876 0.324 0.987
O 0.000 0.078 0.667
O 0.000 0.812 0.667
O 0.010 0.475 0.982
O 0.078 0.000 0.333
O 0.122 0.305 0.322
O 0.145 0.670 0.675
O 0.147 0.361 0.684
O 0.183 0.878 0.989
O 0.188 0.188 0.000
O 0.214 0.853 0.351
O 0.274 0.582 0.369
O 0.305 0.122 0.678
O 0.308 0.726 0.036
O 0.330 0.475 0.008
O 0.361 0.147 0.316
O 0.418 0.692 0.702
O 0.465 0.990 0.649
O 0.475 0.010 0.018
O 0.475 0.330 0.992
O 0.525 0.535 0.316
O 0.525 0.855 0.342
O 0.535 0.525 0.684
O 0.582 0.274 0.631
O 0.639 0.786 0.018
O 0.670 0.145 0.325
O 0.692 0.418 0.298
O 0.695 0.817 0.655
O 0.726 0.308 0.964
O 0.786 0.639 0.982
O 0.812 0.000 0.333
O 0.817 0.695 0.345
O 0.853 0.214 0.649
O 0.855 0.525 0.658
O 0.878 0.183 0.011
O 0.922 0.922 0.000
O 0.990 0.465 0.351